1.
A geometry-optimized La2Dy5YTh structure, computed with GGA-PBE.

extended XYZ file:
```
18
Lattice="2.822 -9.871 0.000 2.822 9.871 0.000 0.000 0.000 10.988" Properties=species:S:1:pos:R:3 pbc="T T T"
La 2.822 7.597 5.494
La 2.822 7.574 0.919
La 2.822 -7.574 6.413
La 2.822 -7.597 0.000
Dy 2.822 9.573 8.725
Dy 2.822 4.301 0.835
Dy 2.822 3.962 5.226
Dy 2.822 2.139 8.647
Dy 2.822 0.371 5.544
Dy 2.822 -0.371 0.050
Dy 2.822 -2.139 3.153
Dy 2.822 -3.962 10.720
Dy 2.822 -4.301 6.329
Dy 2.822 -9.573 3.231
Y 2.822 5.869 8.516
Y 2.822 -5.869 3.022
Th 2.822 1.630 2.512
Th 2.822 -1.630 8.006
```

Summary:
- calculated formation energy (eV/atom) = 0.160
- total energy (eV per atom) = -5.03

2.
A geometry-optimized LaDy3YTh structure, computed with GGA-PBE.

extended XYZ file:
```
12
Lattice="8.036 0.000 0.000 0.000 5.083 0.000 -3.315 0.000 9.642" Properties=species:S:1:pos:R:3 pbc="T T T"
La 0.380 1.271 2.805
La 4.341 3.812 6.837
Dy -0.453 3.812 5.257
Dy 1.278 3.812 0.405
Dy -1.214 1.271 7.663
Dy 5.935 3.812 1.979
Dy 3.443 1.271 9.237
Dy 5.174 1.271 4.385
Y 1.916 1.271 6.069
Y 2.805 3.812 3.573
Th 1.084 3.812 8.479
Th 3.638 1.271 1.163
```

Summary:
- calculated formation energy (eV/atom) = 0.036
- total energy (eV per atom) = -5.40

3.
A geometry-optimized La2DyYTh structure, computed with GGA-PBE.

extended XYZ file:
```
10
Lattice="9.138 0.000 0.000 0.000 6.357 0.000 -2.079 0.000 6.202" Properties=species:S:1:pos:R:3 pbc="T T T"
La 0.970 1.259 2.089
La -0.070 5.098 5.190
La 7.129 1.259 1.012
La 6.090 5.098 4.113
Dy -1.559 2.087 4.652
Dy -0.520 4.270 1.551
Y 3.010 0.051 4.652
Y 4.049 6.305 1.551
Th 4.569 3.178 0.000
Th 3.530 3.178 3.101
```

Summary:
- calculated formation energy (eV/atom) = 0.332
- total energy (eV per atom) = -5.34

4.
A geometry-optimized LaDy2YTh structure, computed with GGA-PBE.

extended XYZ file:
```
5
Lattice="3.537 0.000 0.000 0.000 5.691 0.000 0.000 0.000 8.723" Properties=species:S:1:pos:R:3 pbc="T T T"
La 0.000 0.000 0.000
Dy 0.000 2.845 2.805
Dy 0.000 2.845 5.918
Y 1.768 0.000 4.362
Th 1.768 2.845 0.000
```

Summary:
- calculated formation energy (eV/atom) = 0.282
- total energy (eV per atom) = -5.32

5.
A geometry-optimized La5Dy2YTh structure, computed with GGA-PBE.

extended XYZ file:
```
18
Lattice="2.757 -10.904 0.000 2.757 10.904 0.000 0.000 0.000 10.690" Properties=species:S:1:pos:R:3 pbc="T T T"
La 0.000 0.000 0.000
La 0.000 0.000 5.345
La 2.757 8.122 8.017
La 2.757 6.022 0.615
La 2.757 6.022 4.730
La 2.757 0.043 2.672
La 2.757 -0.043 8.017
La 2.757 -6.022 5.959
La 2.757 -6.022 10.075
La 2.757 -8.122 2.672
Dy 2.757 2.439 5.424
Dy 2.757 2.439 10.610
Dy 2.757 -2.439 0.080
Dy 2.757 -2.439 5.265
Y 2.757 8.669 2.672
Y 2.757 -8.669 8.017
Th 2.757 4.633 8.017
Th 2.757 -4.633 2.672
```

Summary:
- calculated formation energy (eV/atom) = 0.129
- total energy (eV per atom) = -5.17

6.
A geometry-optimized La3Dy2Y6Th structure, computed with GGA-PBE.

extended XYZ file:
```
12
Lattice="3.130 -5.421 0.000 3.130 5.421 0.000 -2.091 0.000 11.729" Properties=species:S:1:pos:R:3 pbc="T T T"
La 0.000 0.000 0.000
La 3.130 1.812 0.000
La 3.130 -1.812 0.000
Dy 2.084 3.613 5.865
Dy 2.084 -3.613 5.865
Y 1.052 1.790 2.999
Y 0.017 0.000 8.731
Y 1.052 -1.790 2.999
Y 3.117 1.790 8.730
Y 4.152 0.000 2.998
Y 3.117 -1.790 8.730
Th 2.084 0.000 5.865
```

Summary:
- calculated formation energy (eV/atom) = 0.019
- total energy (eV per atom) = -5.83